The following is a DFT calculation (PBE) of a geometry-optimized CeThMgPa structure.

Unit cell a=5.381 b=5.381 c=5.381 alpha=60.00 beta=60.00 gamma=60.00
Positions (direct):
Ce: 0.000 0.000 0.000
Th: 0.500 0.500 0.500
Mg: 0.250 0.250 0.250
Pa: 0.750 0.750 0.750

Computed properties:
The value obtained for the formation energy from the elements is 0.29 eV/atom. Its crystal system is cubic. The uncorrected energy is -23.274 eV per formula unit.

The following is a DFT calculation (PBE) of a geometry-optimized ScBe2Te structure.

Unit cell a=4.086 b=4.086 c=3.831 alpha=90.00 beta=90.00 gamma=90.00
Positions (direct):
Sc: 0.000 0.000 0.000
Be: 0.000 0.500 0.500
Be: 0.500 0.000 0.500
Te: 0.500 0.500 0.000

Computed properties:
As for the uncorrected formation energy: 0.098 eV per atom. Its crystal system is tetragonal. The uncorrected energy is -16.533 eV per formula unit.

The following is a DFT calculation (PBE) of a geometry-optimized ScV2FeBr structure.

Unit cell a=4.617 b=4.617 c=4.964 alpha=90.00 beta=90.00 gamma=90.00
Positions (direct):
Sc: 0.000 0.000 0.000
V: 0.000 0.500 0.000
V: 0.500 0.000 0.000
Fe: 0.500 0.500 0.500
Br: 0.000 0.000 0.500

Computed properties:
As for the uncorrected formation energy: 1.711 eV per atom. Its crystal system is tetragonal. The uncorrected energy is -26.151 eV per formula unit.